1.
# CsSc2GaOs

An optimized crystal structure of CsSc2GaOs (GGA-PBEsol, the Alexandria database).

Cell: 5.0926 5.0926 5.5734 Å, 90.00 90.00 90.00°
Closest atoms and distances in Å follow each position.
Fractional positions:
Cs (0.0000, 0.0000, 0.5000)  2 Ga 2.79
Sc (0.0000, 0.5000, 0.0000)  2 Ga 2.55
Sc (0.5000, 0.0000, 0.0000)  2 Ga 2.55
Os (0.5000, 0.5000, 0.5000)  4 Cs 3.60, 8 Sc 3.77
Ga (0.0000, 0.0000, 0.0000)  4 Sc 2.55, 2 Cs 2.79

Calculated values
- ΔE_f: 1.55 eV/atom
- Volume: 144.5 Å³/cell
- Size of the total moment: 0.194 μB per atom
- DFT total energy: -4.388 eV/atom

***

2.
# CsGa3P

An optimized crystal structure of CsGa3P (GGA-PBEsol, the Alexandria database).

Cell: 5.6881 5.6881 5.6881 Å, 90.00 90.00 90.00°
Closest atoms and distances in Å follow each position.
Fractional positions:
Cs (0.0000, 0.0000, 0.0000)  6 Ga 2.84
P (0.5000, 0.5000, 0.5000)  12 Ga 4.02
Ga (0.0000, 0.5000, 0.0000)  2 Cs 2.84
Ga (0.0000, 0.0000, 0.5000)  2 Cs 2.84
Ga (0.5000, 0.0000, 0.0000)  2 Cs 2.84

Calculated values
- ΔE_f: 1.66 eV/atom
- Volume: 184.0 Å³/cell
- Size of the total moment: 0.000 μB per atom
- DFT total energy: -1.688 eV/atom

***

3.
# CsGa3Pb

An optimized crystal structure of CsGa3Pb (GGA-PBEsol, the Alexandria database).

Cell: 5.6619 5.6619 5.6619 Å, 90.00 90.00 90.00°
Closest atoms and distances in Å follow each position.
Fractional positions:
Pb (0.5000, 0.5000, 0.5000)  12 Ga 4.00
Cs (0.0000, 0.0000, 0.0000)  6 Ga 2.83
Ga (0.0000, 0.5000, 0.0000)  2 Cs 2.83
Ga (0.0000, 0.0000, 0.5000)  2 Cs 2.83
Ga (0.5000, 0.0000, 0.0000)  2 Cs 2.83

Calculated values
- ΔE_f: 1.19 eV/atom
- Volume: 181.5 Å³/cell
- Size of the total moment: 0.000 μB per atom
- DFT total energy: -1.804 eV/atom

***

4.
# CsGa2Pd

An optimized crystal structure of CsGa2Pd (GGA-PBEsol, the Alexandria database).

Cell: 5.0477 5.0477 5.0477 Å, 60.00 60.00 60.00°
Closest atoms and distances in Å follow each position.
Fractional positions:
Cs (0.5000, 0.5000, 0.5000)  8 Ga 3.09
Ga (0.2500, 0.2500, 0.2500)  4 Cs 3.09, 4 Pd 3.09
Ga (0.7500, 0.7500, 0.7500)  4 Cs 3.09, 4 Pd 3.09
Pd (0.0000, 0.0000, 0.0000)  8 Ga 3.09

Calculated values
- ΔE_f: 0.36 eV/atom
- Volume: 90.9 Å³/cell
- Size of the total moment: 0.000 μB per atom
- DFT total energy: -3.039 eV/atom

***

5.
# CsGa2Pt2

An optimized crystal structure of CsGa2Pt2 (GGA-PBEsol, the Alexandria database).

Cell: 4.3019 4.3019 7.2854 Å, 107.17 107.17 90.00°
Closest atoms and distances in Å follow each position.
Fractional positions:
Cs (0.0000, 0.0000, 0.0000)  8 Pt 3.68, 8 Ga 3.95
Ga (0.2500, 0.7500, 0.5000)  4 Pt 2.49
Ga (0.7500, 0.2500, 0.5000)  4 Pt 2.49
Pt (0.3441, 0.3441, 0.6881)  4 Ga 2.49
Pt (0.6559, 0.6559, 0.3119)  4 Ga 2.49

Calculated values
- ΔE_f: -0.29 eV/atom
- Volume: 122.5 Å³/cell
- Size of the total moment: 0.000 μB per atom
- DFT total energy: -4.600 eV/atom

***

6.
# Cs2GaPtRh

An optimized crystal structure of Cs2GaPtRh (GGA-PBEsol, the Alexandria database).

Cell: 4.7033 6.3409 6.3409 Å, 90.00 90.00 90.00°
Closest atoms and distances in Å follow each position.
Fractional positions:
Cs (0.0000, 0.0000, 0.5000)  2 Pt 3.17
Cs (0.0000, 0.5000, 0.0000)  2 Pt 3.17
Rh (0.5000, 0.5000, 0.5000)  8 Cs 3.95
Ga (0.5000, 0.0000, 0.0000)  2 Pt 2.35
Pt (0.0000, 0.0000, 0.0000)  2 Ga 2.35

Calculated values
- ΔE_f: 0.81 eV/atom
- Volume: 189.1 Å³/cell
- Size of the total moment: 0.294 μB per atom
- DFT total energy: -3.255 eV/atom

***

7.
# Cs3RbGa

An optimized crystal structure of Cs3RbGa (GGA-PBEsol, the Alexandria database).

Cell: 7.2970 7.2970 7.2970 Å, 90.00 90.00 90.00°
Closest atoms and distances in Å follow each position.
Fractional positions:
Cs (0.0000, 0.5000, 0.0000)  2 Ga 3.65
Cs (0.0000, 0.0000, 0.5000)  2 Ga 3.65
Cs (0.5000, 0.0000, 0.0000)  2 Ga 3.65
Ga (0.0000, 0.0000, 0.0000)  6 Cs 3.65
Rb (0.5000, 0.5000, 0.5000)  12 Cs 5.16

Calculated values
- ΔE_f: 0.16 eV/atom
- Volume: 388.5 Å³/cell
- Size of the total moment: 0.000 μB per atom
- DFT total energy: -1.282 eV/atom

***

8.
# CsGaRe2

An optimized crystal structure of CsGaRe2 (GGA-PBEsol, the Alexandria database).

Cell: 4.5999 4.5999 4.5999 Å, 60.00 60.00 60.00°
Closest atoms and distances in Å follow each position.
Fractional positions:
Cs (0.5000, 0.5000, 0.5000)  8 Re 2.82
Re (0.2500, 0.2500, 0.2500)  4 Cs 2.82, 4 Ga 2.82
Re (0.7500, 0.7500, 0.7500)  4 Cs 2.82, 4 Ga 2.82
Ga (0.0000, 0.0000, 0.0000)  8 Re 2.82

Calculated values
- ΔE_f: 1.94 eV/atom
- Volume: 68.8 Å³/cell
- Size of the total moment: 0.000 μB per atom
- DFT total energy: -5.799 eV/atom